Ba2ZnH6Rh: relaxed, PBE.

The space group is C2/m (No. 12) and the conventional cell measures 8.1184, 8.1622 and 5.7639 Å, with angles of 90.00, 134.69 and 90.00 degrees. The distinct sites, in fractional coordinates, are Ba at (0.0000, 0.2501, 0.0000), Zn at (0.0000, 0.0000, 0.5000), H at (0.0000, 0.2856, 0.5000), H at (0.2130, 0.5000, 0.9273), H at (0.2142, 0.5000, 0.4986) and Rh at (0.0000, 0.5000, 0.5000).

The final energy is -3.674 eV/atom. The spin magnetization is 0.00 Bohr magnetons per cell.

***

Li2SnGe: relaxed, PBE.

The space group is P4/mmm (No. 123) and the conventional cell measures 4.1510, 4.1510 and 4.2851 Å, with angles of 90.00, 90.00 and 90.00 degrees. The distinct sites, in fractional coordinates, are Li at (0.0000, 0.5000, 0.0000), Sn at (0.0000, 0.0000, 0.5000) and Ge at (0.5000, 0.5000, 0.5000).

The final energy is -3.392 eV/atom. The spin magnetization is 0.00 Bohr magnetons per cell. The calculation puts the energy relative to the elements at -280 meV/atom.

***

VCdHg3: relaxed, PBE.

The space group is Pm-3m (No. 221) and the conventional cell measures 5.4254, 5.4254 and 5.4254 Å, with angles of 90.00, 90.00 and 90.00 degrees. The distinct sites, in fractional coordinates, are V at (0.0000, 0.0000, 0.0000), Cd at (0.5000, 0.5000, 0.5000) and Hg at (0.0000, 0.0000, 0.5000).

The final energy is -1.675 eV/atom. The spin magnetization is 4.17 Bohr magnetons per cell. The calculation puts the energy relative to the elements at 513 meV/atom.

***

BaTi4O7: relaxed, PBE.

The space group is P6_3mc (No. 186) and the conventional cell measures 6.5778, 6.5778 and 10.5277 Å, with angles of 90.00, 90.00 and 120.00 degrees. The distinct sites, in fractional coordinates, are Ba at (0.3333, 0.6667, 0.0000), Ti at (0.0000, 0.0000, 0.4062), Ti at (0.1879, 0.3758, 0.6557), O at (0.0000, 0.0000, 0.2216), O at (0.0183, 0.5092, 0.1869) and O at (0.1462, 0.2924, 0.4826).

The final energy is -8.276 eV/atom. The spin magnetization is 4.14 Bohr magnetons per cell. The uncorrected formation energy is -2.5921 eV per atom.

***

K2I3: relaxed, PBE.

The space group is R-3m (No. 166, hexagonal axes) and the conventional cell measures 7.7991, 7.7991 and 28.0862 Å, with angles of 90.00, 90.00 and 120.00 degrees. The distinct sites, in fractional coordinates, are K at (0.0000, 0.0000, 0.1347), K at (0.0000, 0.0000, 0.3334) and I at (0.0004, 0.5002, 0.0954).

The final energy is -2.346 eV/atom. The spin magnetization is 0.00 Bohr magnetons per cell. The uncorrected formation energy is -0.9770 eV per atom.

***

Ca3HfSc2As6: relaxed, PBE.

The space group is C2/m (No. 12) and the conventional cell measures 6.9028, 11.9453 and 7.1797 Å, with angles of 90.00, 108.62 and 90.00 degrees. The distinct sites, in fractional coordinates, are Ca at (0.0000, 0.0000, 0.0000), Ca at (0.0000, 0.3322, 0.0000), Hf at (0.0000, 0.5000, 0.5000), Sc at (0.0000, 0.1664, 0.5000), As at (0.2390, 0.3350, 0.7222) and As at (0.2445, 0.0000, 0.7226).

The final energy is -5.859 eV/atom. The spin magnetization is 0.00 Bohr magnetons per cell. The calculation puts the energy relative to the elements at -1149 meV/atom.

***

Which formula does entry 5 have?
K2I3

***

Which of these has the highest spin magnetization?
VCdHg3